A plane-wave DFT calculation with PBE-GGA was carried out for a geometry-optimized RbSrYZr2 structure.

The space group is P4/mmm (No. 123) and the conventional cell measures 5.5964, 5.5964 and 6.0380 Å, with angles of 90.00, 90.00 and 90.00 degrees. Symmetry generates all atoms from Rb at (0.0000, 0.0000, 0.0000), Sr at (0.5000, 0.5000, 0.5000), Y at (0.5000, 0.5000, 0.0000) and Zr at (0.0000, 0.5000, 0.5000).

The calculation puts the density of states at the Fermi level at 5.95 states/eV/cell. The calculation puts the magnetic moment at 1.85 μB per formula unit. The value obtained for the total energy is -3.65 eV per atom. The value obtained for the formation energy is 1.596 eV/atom.



A plane-wave DFT calculation with PBE-GGA was carried out for a geometry-optimized SbSe structure.

The space group is P2_13 (No. 198) and the conventional cell measures 6.1557, 6.1557 and 6.1557 Å, with angles of 90.00, 90.00 and 90.00 degrees. Symmetry generates all atoms from Sb at (0.1728, 0.3272, 0.6728) and Se at (0.0704, 0.9296, 0.4296).

The calculation puts the density of states at the Fermi level at 5.74 states/eV/cell. The calculation puts the magnetic moment at 0.00 μB per formula unit. The value obtained for the total energy is -3.66 eV per atom. The calculation puts the uncorrected formation energy at 0.1404 eV per atom.